[1]
This record from Alexandria describes crystalline SmTmZnAu at its relaxed geometry. The functional is PBE.

Properties
energy above the most stable polymorph in this dataset: 0.000 eV per atom
VASP energy: -16.118 eV per cell
V: 23.2 Å³/atom

Unit cell a=3.606 b=3.606 c=7.150 alpha=90.00 beta=90.00 gamma=90.00
Space group P4mm (No. 99)
Asymmetric unit:
Sm1 0.000 0.000 0.000 (multiplicity 1)
Tm1 0.000 0.000 0.496 (multiplicity 1)
Zn1 0.500 0.500 0.262 (multiplicity 1)
Au1 0.500 0.500 0.723 (multiplicity 1)

---

[2]
This record from Alexandria describes crystalline SmTmZnAu at its relaxed geometry. The functional is PBE.

Properties
energy above the most stable polymorph in this dataset: 0.018 eV per atom
VASP energy: -64.185 eV per cell
V: 23.4 Å³/atom

Unit cell a=7.206 b=7.206 c=7.206 alpha=90.00 beta=90.00 gamma=90.00
Space group F-43m (No. 216)
Asymmetric unit:
Sm1 0.000 0.000 0.000 (multiplicity 4)
Tm1 0.000 0.000 0.500 (multiplicity 4)
Zn1 0.250 0.250 0.250 (multiplicity 4)
Au1 0.250 0.250 0.750 (multiplicity 4)

---

[3]
This record from Alexandria describes crystalline Sm2YAu4 at its relaxed geometry. The functional is PBE.

Properties
VASP energy: -67.607 eV per cell
V: 25.6 Å³/atom

Unit cell a=5.254 b=5.254 c=13.004 alpha=90.00 beta=90.00 gamma=90.00
Space group I4/mmm (No. 139)
Asymmetric unit:
Sm1 0.000 0.000 0.222 (multiplicity 4)
Y1 0.000 0.000 0.500 (multiplicity 2)
Au1 0.000 0.500 0.117 (multiplicity 8)

---

[4]
This record from Alexandria describes crystalline SmYAu6 at its relaxed geometry. The functional is PBE.

Properties
VASP energy: -72.174 eV per cell
V: 20.9 Å³/atom

Unit cell a=8.889 b=4.691 c=8.960 alpha=90.00 beta=116.37 gamma=90.00
Space group C2/m (No. 12)
Asymmetric unit:
Sm1 0.000 0.000 0.000 (multiplicity 2)
Y1 0.000 0.500 0.500 (multiplicity 2)
Au1 0.121 0.500 0.869 (multiplicity 4)
Au2 0.127 0.000 0.378 (multiplicity 4)
Au3 0.248 0.000 0.750 (multiplicity 4)

---

[5]
This record from Alexandria describes crystalline Sm4YAu2 at its relaxed geometry. The functional is PBE.

Properties
VASP energy: -100.168 eV per cell
V: 31.7 Å³/atom

Unit cell a=5.0714 b=5.0714 c=29.9292 alpha=90.00 beta=90.00 gamma=120.00
Space group R-3m (No. 166, hexagonal axes)
Asymmetric unit:
Sm1 0.0000 0.0000 0.1054 (multiplicity 6)
Sm2 0.0000 0.0000 0.2967 (multiplicity 6)
Y1 0.0000 0.0000 0.5000 (multiplicity 3)
Au1 0.0000 0.0000 0.3990 (multiplicity 6)

---

[6]
This record from Alexandria describes crystalline Sm2YAu at its relaxed geometry. The functional is PBE.

Properties
energy above the most stable polymorph in this dataset: 0.164 eV per atom
VASP energy: -60.606 eV per cell
V: 30.4 Å³/atom

Unit cell a=3.7104 b=3.7104 c=30.6383 alpha=90.00 beta=90.00 gamma=120.00
Space group R-3m (No. 166, hexagonal axes)
Asymmetric unit:
Sm1 0.0000 0.0000 0.2382 (multiplicity 6)
Y1 0.0000 0.0000 0.0000 (multiplicity 3)
Au1 0.0000 0.0000 0.5000 (multiplicity 3)

---

[7]
This record from Alexandria describes crystalline Sm4YAu5 at its relaxed geometry. The functional is PBE.

Properties
VASP energy: -49.841 eV per cell
V: 24.5 Å³/atom

Unit cell a=3.635 b=3.635 c=18.567 alpha=90.00 beta=90.00 gamma=90.00
Space group P4/mmm (No. 123)
Asymmetric unit:
Sm1 0.000 0.000 0.101 (multiplicity 2)
Sm2 0.000 0.000 0.302 (multiplicity 2)
Y1 0.000 0.000 0.500 (multiplicity 1)
Au1 0.500 0.500 0.000 (multiplicity 1)
Au2 0.500 0.500 0.201 (multiplicity 2)
Au3 0.500 0.500 0.405 (multiplicity 2)

---

[8]
This record from Alexandria describes crystalline Sm2YAu at its relaxed geometry. The functional is PBE.

Properties
energy above the most stable polymorph in this dataset: 0.000 eV per atom
VASP energy: -83.427 eV per cell
V: 29.8 Å³/atom

Unit cell a=7.098 b=10.010 c=6.718 alpha=90.00 beta=90.00 gamma=90.00
Space group Pnma (No. 62)
Asymmetric unit:
Sm1 0.195 0.055 0.188 (multiplicity 8)
Y1 0.017 0.250 0.626 (multiplicity 4)
Au1 0.095 0.750 0.955 (multiplicity 4)

---

[9]
This record from Alexandria describes crystalline SmY2Au2 at its relaxed geometry. The functional is PBE.

Properties
VASP energy: -55.315 eV per cell
V: 26.0 Å³/atom

Unit cell a=8.213 b=8.213 c=3.850 alpha=90.00 beta=90.00 gamma=90.00
Space group P4/mbm (No. 127)
Asymmetric unit:
Sm1 0.000 0.000 0.000 (multiplicity 2)
Y1 0.162 0.338 0.500 (multiplicity 4)
Au1 0.131 0.631 0.000 (multiplicity 4)

---

[10]
This record from Alexandria describes crystalline SmY4Au5 at its relaxed geometry. The functional is PBE.

Properties
VASP energy: -55.459 eV per cell
V: 23.7 Å³/atom

Unit cell a=3.591 b=3.591 c=18.391 alpha=90.00 beta=90.00 gamma=90.00
Space group P4/mmm (No. 123)
Asymmetric unit:
Sm1 0.000 0.000 0.000 (multiplicity 1)
Y1 0.000 0.000 0.202 (multiplicity 2)
Y2 0.000 0.000 0.401 (multiplicity 2)
Au1 0.500 0.500 0.105 (multiplicity 2)
Au2 0.500 0.500 0.302 (multiplicity 2)
Au3 0.500 0.500 0.500 (multiplicity 1)

---

[11]
This record from Alexandria describes crystalline SmYAu2 at its relaxed geometry. The functional is PBE.

Properties
VASP energy: -21.047 eV per cell
V: 24.1 Å³/atom

Unit cell a=3.625 b=3.625 c=7.333 alpha=90.00 beta=90.00 gamma=90.00
Space group P4/mmm (No. 123)
Asymmetric unit:
Sm1 0.000 0.000 0.000 (multiplicity 1)
Y1 0.000 0.000 0.500 (multiplicity 1)
Au1 0.500 0.500 0.261 (multiplicity 2)

---

[12]
This record from Alexandria describes crystalline Sm3YAu3 at its relaxed geometry. The functional is PBE.

Properties
VASP energy: -139.052 eV per cell
V: 27.4 Å³/atom

Unit cell a=9.660 b=10.886 c=7.306 alpha=90.00 beta=91.43 gamma=90.00
Space group C2/m (No. 12)
Asymmetric unit:
Sm1 0.000 0.178 0.000 (multiplicity 4)
Sm2 0.000 0.255 0.500 (multiplicity 4)
Sm3 0.144 0.500 0.862 (multiplicity 4)
Y1 0.244 0.500 0.369 (multiplicity 4)
Au1 0.067 0.000 0.312 (multiplicity 4)
Au2 0.242 0.255 0.226 (multiplicity 8)

---

Number 1: total magnetic moment 0.001 μB per atom. Number 2: total magnetic moment 0.000 μB per atom. Number 3: total magnetic moment 0.000 μB per atom. Number 4: total magnetic moment 0.000 μB per atom. Number 5: total magnetic moment 0.198 μB per atom. Number 6: total magnetic moment 0.000 μB per atom. Number 7: total magnetic moment 0.000 μB per atom. Number 8: total magnetic moment 0.000 μB per atom. Number 9: total magnetic moment 0.000 μB per atom. Number 10: total magnetic moment 0.000 μB per atom. Number 11: total magnetic moment 0.000 μB per atom. Number 12: total magnetic moment 0.000 μB per atom.